## AcPr2NdEr (GGA-PBE)

Data for a relaxed AcPr2NdEr crystal.

## Properties
The formation energy is 32.7 kJ per mole of atoms. The density of states at the Fermi level comes out at 1.35 states/eV per atom.

Cell: 7.4353 7.4353 7.4854 Å, 90.00 90.00 111.69°
Last column: nearest neighbours and their distance in Å.
Element x y z (fractional)
Ac 0.2421 0.7579 0.7500  1 Nd 3.72, 2 Er 3.83, 4 Pr 4.04
Ac 0.7579 0.2421 0.2500  1 Nd 3.72, 2 Er 3.83, 4 Pr 4.04
Pr 0.3021 0.3021 0.0000  2 Nd 3.23, 1 Pr 3.30, 2 Er 3.43
Pr 0.3021 0.3021 0.5000  2 Nd 3.23, 1 Pr 3.30, 2 Er 3.43
Pr 0.6979 0.6979 0.0000  2 Nd 3.23, 1 Pr 3.30, 2 Er 3.43
Pr 0.6979 0.6979 0.5000  2 Nd 3.23, 1 Pr 3.30, 2 Er 3.43
Nd 0.0606 0.9394 0.2500  1 Er 3.05, 4 Pr 3.23
Nd 0.9394 0.0606 0.7500  1 Er 3.05, 4 Pr 3.23
Er 0.3083 0.6917 0.2500  1 Nd 3.05
Er 0.6917 0.3083 0.7500  1 Nd 3.05

## AcPrNd4Er2 (GGA-PBE)

Data for a relaxed AcPrNd4Er2 crystal.

## Properties
The formation energy is 3.2 kJ per mole of atoms. The density of states at the Fermi level comes out at 1.60 states/eV per atom.

Cell: 6.3772 6.3772 10.4479 Å, 114.26 114.26 48.13°
Last column: nearest neighbours and their distance in Å.
Element x y z (fractional)
Ac 0.0000 0.0000 0.0000  8 Nd 3.69-3.71, 4 Er 3.72
Pr 0.0000 0.0000 0.5000  8 Nd 3.65-3.68, 4 Er 3.65
Nd 0.2481 0.2481 0.8711  1 Pr 3.65, 4 Er 3.66-3.75, 4 Nd 3.68-3.73, 3 Ac 3.69-3.70
Nd 0.2511 0.2511 0.3775  4 Er 3.63-3.69, 4 Nd 3.66-3.68, 3 Pr 3.67-3.68, 1 Ac 3.71
Nd 0.7489 0.7489 0.6225  4 Er 3.63-3.69, 4 Nd 3.66-3.68, 3 Pr 3.67-3.68, 1 Ac 3.71
Nd 0.7519 0.7519 0.1289  1 Pr 3.65, 4 Er 3.66-3.75, 4 Nd 3.68-3.73, 3 Ac 3.69-3.70
Er 0.4994 0.4994 0.2546  8 Nd 3.63-3.75, 2 Pr 3.65, 2 Ac 3.72
Er 0.5006 0.5006 0.7454  8 Nd 3.63-3.75, 2 Pr 3.65, 2 Ac 3.72

## Ac5Pr2NdEr (GGA-PBE)

Data for a relaxed Ac5Pr2NdEr crystal.

## Properties
The formation energy is 27.2 kJ per mole of atoms. The density of states at the Fermi level comes out at 1.53 states/eV per atom.

Cell: 11.9833 11.9833 11.9833 Å, 138.56 138.56 60.05°
Last column: nearest neighbours and their distance in Å.
Element x y z (fractional)
Ac 0.0000 0.0000 0.0000  4 Pr 3.36
Ac 0.0875 0.5875 0.9502  1 Pr 3.39, 1 Er 3.57
Ac 0.1373 0.0875 0.5000  1 Pr 3.39, 1 Er 3.57
Ac 0.3627 0.8627 0.9502  1 Pr 3.39, 1 Er 3.57
Ac 0.4125 0.3627 0.5000  1 Pr 3.39, 1 Er 3.57
Ac 0.5000 0.5000 0.0000  4 Pr 3.36
Ac 0.5875 0.6373 0.5000  1 Pr 3.39, 1 Er 3.57
Ac 0.6373 0.1373 0.0498  1 Pr 3.39, 1 Er 3.57
Ac 0.8627 0.9125 0.5000  1 Pr 3.39, 1 Er 3.57
Ac 0.9125 0.4125 0.0498  1 Pr 3.39, 1 Er 3.57
Pr 0.1227 0.3773 0.5000  1 Pr 2.94
Pr 0.3773 0.8773 0.2546  1 Pr 2.94
Pr 0.6227 0.1227 0.7454  1 Pr 2.94
Pr 0.8773 0.6227 0.5000  1 Pr 2.94
Nd 0.2500 0.2500 0.0000  8 Ac 3.81, 4 Er 4.24
Nd 0.7500 0.7500 0.0000  8 Ac 3.81, 4 Er 4.24
Er 0.2500 0.7500 0.5000  4 Ac 3.57
Er 0.7500 0.2500 0.5000  4 Ac 3.57

## AcPrNd2Er5 (GGA-PBE)

Data for a relaxed AcPrNd2Er5 crystal.

## Properties
The formation energy is 23.5 kJ per mole of atoms. The density of states at the Fermi level comes out at 1.06 states/eV per atom.

Cell: 10.0455 10.0455 10.0455 Å, 128.05 128.05 76.55°
Last column: nearest neighbours and their distance in Å.
Element x y z (fractional)
Ac 0.2500 0.2500 0.0000  10 Er 3.66-3.94
Ac 0.7500 0.7500 0.0000  10 Er 3.66-3.94
Pr 0.2500 0.7500 0.5000  4 Er 3.17
Pr 0.7500 0.2500 0.5000  4 Er 3.17
Nd 0.1176 0.6176 0.7351  1 Nd 2.93, 2 Er 3.02
Nd 0.3824 0.1176 0.5000  1 Nd 2.93, 2 Er 3.02
Nd 0.6176 0.8824 0.5000  1 Nd 2.93, 2 Er 3.02
Nd 0.8824 0.3824 0.2649  1 Nd 2.93, 2 Er 3.02
Er 0.0000 0.0000 0.0000  4 Nd 3.52, 8 Er 3.78, 2 Ac 3.94
Er 0.0743 0.1613 0.5000  1 Nd 3.02, 1 Pr 3.17
Er 0.1613 0.6613 0.0870  1 Nd 3.02, 1 Pr 3.17
Er 0.3387 0.4257 0.5000  1 Nd 3.02, 1 Pr 3.17
Er 0.4257 0.9257 0.0870  1 Nd 3.02, 1 Pr 3.17
Er 0.5000 0.5000 0.0000  4 Nd 3.52, 8 Er 3.78, 2 Ac 3.94
Er 0.5743 0.0743 0.9130  1 Nd 3.02, 1 Pr 3.17
Er 0.6613 0.5743 0.5000  1 Nd 3.02, 1 Pr 3.17
Er 0.8387 0.3387 0.9130  1 Nd 3.02, 1 Pr 3.17
Er 0.9257 0.8387 0.5000  1 Nd 3.02, 1 Pr 3.17

## Ac2Pr4NdEr (GGA-PBE)

Data for a relaxed Ac2Pr4NdEr crystal.

## Properties
The formation energy is 3.8 kJ per mole of atoms. The density of states at the Fermi level comes out at 1.69 states/eV per atom.

Cell: 6.5202 3.7757 12.3909 Å, 90.00 100.30 90.00°
Last column: nearest neighbours and their distance in Å.
Element x y z (fractional)
Ac 0.0000 0.0000 0.0000  6 Ac 3.77-3.78, 6 Pr 3.82-3.84
Ac 0.5000 0.5000 0.0000  6 Ac 3.77-3.78, 6 Pr 3.83-3.85
Pr 0.2449 0.0000 0.7401  2 Er 3.64, 1 Nd 3.66, 6 Pr 3.76-3.78, 3 Ac 3.84-3.85
Pr 0.2524 0.5000 0.2579  2 Nd 3.67, 1 Er 3.67, 6 Pr 3.76-3.78, 3 Ac 3.82-3.83
Pr 0.7476 0.5000 0.7421  2 Nd 3.67, 1 Er 3.67, 6 Pr 3.76-3.78, 3 Ac 3.82-3.83
Pr 0.7551 0.0000 0.2599  2 Er 3.64, 1 Nd 3.66, 6 Pr 3.76-3.78, 3 Ac 3.84-3.85
Nd 0.5000 0.0000 0.5000  6 Pr 3.66-3.67, 4 Er 3.77, 2 Nd 3.78
Er 0.0000 0.5000 0.5000  6 Pr 3.64-3.67, 4 Nd 3.77, 2 Er 3.78

## AcPr5NdEr2 (GGA-PBE)

Data for a relaxed AcPr5NdEr2 crystal.

## Properties
The formation energy is 13.8 kJ per mole of atoms. The density of states at the Fermi level comes out at 1.24 states/eV per atom.

Cell: 12.5316 12.5316 9.6299 Å, 90.00 90.00 153.95°
Last column: nearest neighbours and their distance in Å.
Element x y z (fractional)
Ac 0.1028 0.8972 0.5000  5 Pr 3.43-3.76
Ac 0.8972 0.1028 0.0000  5 Pr 3.43-3.76
Pr 0.0250 0.9750 0.1703  3 Pr 3.32-3.60, 2 Ac 3.52-3.70, 2 Er 3.55
Pr 0.1048 0.8952 0.8906  4 Pr 3.32-3.69, 4 Er 3.53-3.66
Pr 0.1877 0.8123 0.1980  3 Er 3.44-3.45, 3 Nd 3.52-3.57, 4 Pr 3.54-3.81, 1 Ac 3.57
Pr 0.2404 0.7596 0.5707  3 Nd 3.17-3.31, 1 Ac 3.43, 2 Pr 3.54
Pr 0.4927 0.5073 0.3879  2 Er 3.47-3.82, 4 Pr 3.60-3.69
Pr 0.5073 0.4927 0.8879  2 Er 3.47-3.82, 4 Pr 3.60-3.69
Pr 0.7596 0.2404 0.0707  3 Nd 3.17-3.31, 1 Ac 3.43, 2 Pr 3.54
Pr 0.8123 0.1877 0.6980  3 Er 3.44-3.45, 3 Nd 3.52-3.57, 4 Pr 3.54-3.81, 1 Ac 3.57
Pr 0.8952 0.1048 0.3906  4 Pr 3.32-3.69, 4 Er 3.53-3.66
Pr 0.9750 0.0250 0.6703  3 Pr 3.32-3.60, 2 Ac 3.52-3.70, 2 Er 3.55
Nd 0.2669 0.7331 0.8927  4 Pr 3.17-3.52
Nd 0.7331 0.2669 0.3927  4 Pr 3.17-3.52
Er 0.3270 0.6730 0.2556  6 Pr 3.45-3.72, 1 Nd 3.79
Er 0.3881 0.6119 0.6313  9 Pr 3.44-3.82
Er 0.6119 0.3881 0.1313  9 Pr 3.44-3.82
Er 0.6730 0.3270 0.7556  6 Pr 3.45-3.72, 1 Nd 3.79

## AcPrNd5Er2 (GGA-PBE)

Data for a relaxed AcPrNd5Er2 crystal.

## Properties
The formation energy is 14.0 kJ per mole of atoms. The density of states at the Fermi level comes out at 1.21 states/eV per atom.

Cell: 12.4485 12.4485 9.5987 Å, 90.00 90.00 153.82°
Last column: nearest neighbours and their distance in Å.
Element x y z (fractional)
Ac 0.1026 0.8974 0.5000  5 Nd 3.41-3.75
Ac 0.8974 0.1026 0.0000  5 Nd 3.41-3.75
Pr 0.2664 0.7336 0.1082  4 Nd 3.15-3.50
Pr 0.7336 0.2664 0.6082  4 Nd 3.15-3.50
Nd 0.0251 0.9749 0.8285  3 Nd 3.30-3.60, 2 Ac 3.51-3.67, 2 Er 3.54
Nd 0.1038 0.8962 0.1088  4 Nd 3.30-3.67, 4 Er 3.52-3.65
Nd 0.1876 0.8124 0.8032  3 Er 3.42-3.45, 3 Pr 3.50-3.56, 4 Nd 3.53-3.80, 1 Ac 3.57
Nd 0.2407 0.7593 0.4303  3 Pr 3.15-3.30, 1 Ac 3.41, 2 Nd 3.53
Nd 0.4931 0.5069 0.6098  2 Er 3.44-3.81, 4 Nd 3.60-3.67
Nd 0.5069 0.4931 0.1098  2 Er 3.44-3.81, 4 Nd 3.60-3.67
Nd 0.7593 0.2407 0.9303  3 Pr 3.15-3.30, 1 Ac 3.41, 2 Nd 3.53
Nd 0.8124 0.1876 0.3032  3 Er 3.42-3.45, 3 Pr 3.50-3.56, 4 Nd 3.53-3.80, 1 Ac 3.57
Nd 0.8962 0.1038 0.6088  4 Nd 3.30-3.67, 4 Er 3.52-3.65
Nd 0.9749 0.0251 0.3285  3 Nd 3.30-3.60, 2 Ac 3.51-3.67, 2 Er 3.54
Er 0.3279 0.6721 0.7442  6 Nd 3.45-3.73, 3 Pr 3.80-3.86
Er 0.3881 0.6119 0.3688  9 Nd 3.42-3.81
Er 0.6119 0.3881 0.8688  9 Nd 3.42-3.81
Er 0.6721 0.3279 0.2442  6 Nd 3.45-3.73, 3 Pr 3.80-3.86

## Ac2Pr5NdEr (GGA-PBE)

Data for a relaxed Ac2Pr5NdEr crystal.

## Properties
The formation energy is 10.5 kJ per mole of atoms. The density of states at the Fermi level comes out at 1.52 states/eV per atom.

Cell: 11.7257 11.7257 10.5599 Å, 90.00 90.00 152.00°
Last column: nearest neighbours and their distance in Å.
Element x y z (fractional)
Ac 0.1171 0.8829 0.5000  1 Er 3.62, 9 Pr 3.69-3.89, 2 Nd 3.99
Ac 0.1167 0.8833 0.9734  1 Er 3.62, 9 Pr 3.68-3.89, 2 Nd 3.98
Ac 0.8829 0.1171 0.0000  1 Er 3.62, 9 Pr 3.69-3.89, 2 Nd 3.99
Ac 0.8833 0.1167 0.4734  1 Er 3.62, 9 Pr 3.68-3.89, 2 Nd 3.98
Pr 0.0021 0.9979 0.2367  2 Nd 3.64, 4 Ac 3.68-3.82, 6 Pr 3.87-3.99
Pr 0.2782 0.7218 0.9259  2 Pr 3.37, 1 Nd 3.37, 3 Er 3.47-3.54, 1 Ac 3.71
Pr 0.2787 0.7213 0.5463  2 Pr 3.37, 1 Nd 3.37, 3 Er 3.47-3.55, 1 Ac 3.71
Pr 0.3789 0.6211 0.2366  1 Er 3.64, 4 Ac 3.78, 6 Pr 3.81-4.00
Pr 0.5001 0.4999 0.4868  2 Nd 3.52, 6 Pr 3.81-3.88, 4 Ac 3.89
Pr 0.4999 0.5001 0.9868  2 Nd 3.52, 6 Pr 3.81-3.88, 4 Ac 3.89
Pr 0.6211 0.3789 0.7366  1 Er 3.64, 4 Ac 3.78, 6 Pr 3.81-4.00
Pr 0.7213 0.2787 0.0463  2 Pr 3.37, 1 Nd 3.37, 3 Er 3.47-3.55, 1 Ac 3.71
Pr 0.7218 0.2782 0.4259  2 Pr 3.37, 1 Nd 3.37, 3 Er 3.47-3.54, 1 Ac 3.71
Pr 0.9979 0.0021 0.7367  2 Nd 3.64, 4 Ac 3.68-3.82, 6 Pr 3.87-3.99
Nd 0.3974 0.6026 0.7367  6 Pr 3.37-3.64
Nd 0.6026 0.3974 0.2367  6 Pr 3.37-3.64
Er 0.2188 0.7812 0.2362  7 Pr 3.47-3.64, 2 Ac 3.62, 2 Nd 3.88
Er 0.7812 0.2188 0.7362  7 Pr 3.47-3.64, 2 Ac 3.62, 2 Nd 3.88

## AcPr6Nd2Er (GGA-PBE)

Data for a relaxed AcPr6Nd2Er crystal.

## Properties
The formation energy is 10.8 kJ per mole of atoms. The density of states at the Fermi level comes out at 1.46 states/eV per atom.

Cell: 9.1886 9.1886 9.9048 Å, 93.18 93.18 118.08°
Last column: nearest neighbours and their distance in Å.
Element x y z (fractional)
Ac 0.0226 0.9774 0.7500  4 Nd 3.55-3.63, 4 Pr 3.77-3.87
Ac 0.9774 0.0226 0.2500  4 Nd 3.55-3.63, 4 Pr 3.77-3.87
Pr 0.0119 0.5632 0.6896  5 Pr 3.39-3.78, 2 Nd 3.52-3.74, 1 Er 3.56, 1 Ac 3.77
Pr 0.1284 0.7511 0.0540  7 Pr 3.55-3.93, 1 Nd 3.66, 1 Ac 3.87
Pr 0.2489 0.8716 0.4460  7 Pr 3.55-3.93, 1 Nd 3.66, 1 Ac 3.87
Pr 0.2909 0.5023 0.8836  3 Nd 3.36-3.55, 4 Pr 3.39-3.66, 2 Er 3.52-3.67
Pr 0.4368 0.9881 0.8104  5 Pr 3.39-3.78, 2 Nd 3.52-3.74, 1 Er 3.56, 1 Ac 3.77
Pr 0.4977 0.7091 0.6164  3 Nd 3.36-3.55, 4 Pr 3.39-3.66, 2 Er 3.52-3.67
Pr 0.5023 0.2909 0.3836  3 Nd 3.36-3.55, 4 Pr 3.39-3.66, 2 Er 3.52-3.67
Pr 0.5632 0.0119 0.1896  5 Pr 3.39-3.78, 2 Nd 3.52-3.74, 1 Er 3.56, 1 Ac 3.77
Pr 0.7091 0.4977 0.1164  3 Nd 3.36-3.55, 4 Pr 3.39-3.66, 2 Er 3.52-3.67
Pr 0.7511 0.1284 0.5540  7 Pr 3.55-3.93, 1 Nd 3.66, 1 Ac 3.87
Pr 0.8716 0.2489 0.9460  7 Pr 3.55-3.93, 1 Nd 3.66, 1 Ac 3.87
Pr 0.9881 0.4368 0.3104  5 Pr 3.39-3.78, 2 Nd 3.52-3.74, 1 Er 3.56, 1 Ac 3.77
Nd 0.2007 0.3129 0.5455  6 Pr 3.36-3.74, 2 Ac 3.55-3.63, 1 Er 3.69
Nd 0.3129 0.2007 0.0455  6 Pr 3.36-3.74, 2 Ac 3.55-3.63, 1 Er 3.69
Nd 0.6871 0.7993 0.9545  6 Pr 3.36-3.74, 2 Ac 3.55-3.63, 1 Er 3.69
Nd 0.7993 0.6871 0.4545  6 Pr 3.36-3.74, 2 Ac 3.55-3.63, 1 Er 3.69
Er 0.4114 0.5886 0.2500  6 Pr 3.52-3.67, 2 Nd 3.69
Er 0.5886 0.4114 0.7500  6 Pr 3.52-3.67, 2 Nd 3.69

## AcPr2Nd2Er2 (GGA-PBE)

Data for a relaxed AcPr2Nd2Er2 crystal.

## Properties
The formation energy is 3.3 kJ per mole of atoms. The density of states at the Fermi level comes out at 1.59 states/eV per atom.

Cell: 6.3925 6.3925 8.2197 Å, 97.49 97.49 48.27°
Last column: nearest neighbours and their distance in Å.
Element x y z (fractional)
Ac 0.0000 0.0000 0.0000  6 Pr 3.71-3.72, 2 Er 3.72, 4 Nd 3.74
Pr 0.2855 0.2855 0.8476  3 Er 3.57-3.67, 4 Nd 3.67-3.80, 3 Ac 3.71-3.72, 2 Pr 3.79
Pr 0.7145 0.7145 0.1524  3 Er 3.57-3.67, 4 Nd 3.67-3.80, 3 Ac 3.71-3.72, 2 Pr 3.79
Nd 0.4262 0.4262 0.2934  1 Nd 3.58, 5 Er 3.61-3.70, 4 Pr 3.67-3.80, 2 Ac 3.74
Nd 0.5738 0.5738 0.7066  1 Nd 3.58, 5 Er 3.61-3.70, 4 Pr 3.67-3.80, 2 Ac 3.74
Er 0.1426 0.1426 0.4341  3 Pr 3.57-3.67, 5 Nd 3.61-3.70, 3 Er 3.64-3.68, 1 Ac 3.72
Er 0.8574 0.8574 0.5659  3 Pr 3.57-3.67, 5 Nd 3.61-3.70, 3 Er 3.64-3.68, 1 Ac 3.72

## Ac2Pr2NdEr (GGA-PBE)

Data for a relaxed Ac2Pr2NdEr crystal.

## Properties
The formation energy is 7.5 kJ per mole of atoms. The density of states at the Fermi level comes out at 1.51 states/eV per atom.

Cell: 7.3829 5.9562 10.2971 Å, 90.00 90.00 90.00°
Last column: nearest neighbours and their distance in Å.
Element x y z (fractional)
Ac 0.0000 0.0000 0.0000  6 Ac 3.69-3.94, 2 Er 3.93, 6 Pr 3.93-3.98
Ac 0.2500 0.5000 0.1744  5 Pr 3.45-3.69, 2 Nd 3.83
Ac 0.5000 0.0000 0.0000  6 Ac 3.69-3.94, 2 Er 3.93, 6 Pr 3.93-3.98
Ac 0.7500 0.5000 0.8256  5 Pr 3.45-3.69, 2 Nd 3.83
Pr 0.2500 0.0000 0.3430  3 Er 3.30-3.69, 2 Ac 3.45
Pr 0.2500 0.5000 0.8273  2 Er 3.42, 3 Ac 3.57-3.69
Pr 0.7500 0.0000 0.6570  3 Er 3.30-3.69, 2 Ac 3.45
Pr 0.7500 0.5000 0.1727  2 Er 3.42, 3 Ac 3.57-3.69
Nd 0.0000 0.5000 0.5000  2 Nd 3.69, 2 Ac 3.83, 6 Pr 3.84-3.86, 4 Er 3.89
Nd 0.5000 0.5000 0.5000  2 Nd 3.69, 2 Ac 3.83, 6 Pr 3.84-3.86, 4 Er 3.89
Er 0.2500 0.0000 0.6636  5 Pr 3.30-3.69
Er 0.7500 0.0000 0.3364  5 Pr 3.30-3.69

## Ac2PrNd5Er (GGA-PBE)

Data for a relaxed Ac2PrNd5Er crystal.

## Properties
The formation energy is 12.9 kJ per mole of atoms. The density of states at the Fermi level comes out at 1.38 states/eV per atom.

Cell: 10.8062 10.8062 10.9759 Å, 90.00 90.00 148.46°
Last column: nearest neighbours and their distance in Å.
Element x y z (fractional)
Ac 0.1144 0.8856 0.5000  1 Er 3.59, 9 Nd 3.60-3.99, 2 Pr 3.94
Ac 0.1170 0.8830 0.0844  8 Nd 3.41-3.70
Ac 0.8830 0.1170 0.5844  8 Nd 3.41-3.70
Ac 0.8856 0.1144 0.0000  1 Er 3.59, 9 Nd 3.60-3.99, 2 Pr 3.94
Pr 0.4089 0.5911 0.2347  5 Nd 3.14-3.41
Pr 0.5911 0.4089 0.7347  5 Nd 3.14-3.41
Nd 0.0181 0.9819 0.7882  2 Pr 3.36, 3 Ac 3.59-3.74
Nd 0.2809 0.7191 0.0822  1 Pr 3.14, 1 Ac 3.41
Nd 0.2941 0.7059 0.4728  3 Nd 3.54-3.93, 1 Pr 3.54, 3 Er 3.63-3.82, 3 Ac 3.68-3.75
Nd 0.3848 0.6152 0.7875  6 Nd 3.67-4.04, 4 Ac 3.69-3.75, 1 Er 3.73
Nd 0.4843 0.5157 0.5110  2 Pr 3.31-3.41, 2 Nd 3.67, 2 Ac 3.70
Nd 0.5157 0.4843 0.0110  2 Pr 3.31-3.41, 2 Nd 3.67, 2 Ac 3.70
Nd 0.6152 0.3848 0.2875  6 Nd 3.67-4.04, 4 Ac 3.69-3.75, 1 Er 3.73
Nd 0.7059 0.2941 0.9728  3 Nd 3.54-3.93, 1 Pr 3.54, 3 Er 3.63-3.82, 3 Ac 3.68-3.75
Nd 0.7191 0.2809 0.5822  1 Pr 3.14, 1 Ac 3.41
Nd 0.9819 0.0181 0.2882  2 Pr 3.36, 3 Ac 3.59-3.74
Er 0.2055 0.7945 0.7782  2 Ac 3.59-3.83, 8 Nd 3.63-3.90, 2 Pr 3.81
Er 0.7945 0.2055 0.2782  2 Ac 3.59-3.83, 8 Nd 3.63-3.90, 2 Pr 3.81